No. 1
VASP calculation (GGA-PBE) on a geometry-optimized LiDyHo2 structure.

Properties
DOS at the Fermi energy in states/eV/f.u.: 2.74
Relative energy among the computed polymorphs in meV per atom: 112
Energy of formation from the pure elements in meV/atom: 182.1
Space group: Fm-3m

a = 5.4482 Å, b = 5.4482 Å, c = 5.4482 Å
α = 60.00°, β = 60.00°, γ = 60.00°
Atoms (fractional coordinates):
Dy 0.0000 0.0000 0.0000
Ho 0.7500 0.7500 0.7500
Ho 0.2500 0.2500 0.2500
Li 0.5000 0.5000 0.5000



No. 2
VASP calculation (GGA-PBE) on a geometry-optimized Li2DyHo structure.

Properties
DOS at the Fermi energy in states/eV/f.u.: 3.78
Energy of formation from the pure elements in meV/atom: 156.0
Space group: P4/mmm

a = 3.6972 Å, b = 3.6972 Å, c = 7.3954 Å
α = 90.00°, β = 90.00°, γ = 90.00°
Atoms (fractional coordinates):
Li 0.0000 0.0000 0.7495
Li 0.0000 0.0000 0.2505
Dy 0.5000 0.5000 0.0000
Ho 0.5000 0.5000 0.5000



No. 3
VASP calculation (GGA-PBE) on a geometry-optimized LiDy2Ho structure.

Properties
DOS at the Fermi energy in states/eV/f.u.: 3.58
Relative energy among the computed polymorphs in meV per atom: 18
Energy of formation from the pure elements in meV/atom: 88.0
Space group: R3m

a = 3.4855 Å, b = 3.4855 Å, c = 11.3554 Å
α = 81.17°, β = 81.17°, γ = 60.00°
Atoms (fractional coordinates):
Dy 0.0847 0.0847 0.7458
Dy 0.2485 0.2485 0.2544
Li 0.5001 0.5001 0.4996
Ho 0.6666 0.6666 0.0002



No. 4
VASP calculation (GGA-PBE) on a geometry-optimized LiDy2Ho structure.

Properties
DOS at the Fermi energy in states/eV/f.u.: 4.53
Relative energy among the computed polymorphs in meV per atom: 78
Energy of formation from the pure elements in meV/atom: 147.5
Space group: P4/mmm

a = 3.7385 Å, b = 5.5586 Å, c = 5.5586 Å
α = 90.00°, β = 90.00°, γ = 90.00°
Atoms (fractional coordinates):
Ho 0.5000 0.5000 0.5000
Dy 0.0000 0.0000 0.5000
Dy 0.0000 0.5000 0.0000
Li 0.5000 0.0000 0.0000



No. 5
VASP calculation (GGA-PBE) on a geometry-optimized LiDyHo6 structure.

Properties
DOS at the Fermi energy in states/eV/f.u.: 10.21
Energy of formation from the pure elements in meV/atom: 156.6
Space group: P-1

a = 8.3371 Å, b = 9.2706 Å, c = 6.2348 Å
α = 42.00°, β = 48.05°, γ = 56.20°
Atoms (fractional coordinates):
Ho 0.0492 0.4306 0.2826
Ho 0.5693 0.2375 0.2422
Ho 0.7624 0.9510 0.8562
Ho 0.4307 0.7625 0.7578
Ho 0.9508 0.5694 0.7174
Ho 0.2376 0.0490 0.1438
Dy 0.5000 0.5000 0.5000
Li 0.0000 0.0000 0.0000



No. 6
VASP calculation (GGA-PBE) on a geometry-optimized LiDy2Ho structure.

Properties
DOS at the Fermi energy in states/eV/f.u.: 5.51
Relative energy among the computed polymorphs in meV per atom: 107
Energy of formation from the pure elements in meV/atom: 176.4
Space group: R-3m

a = 3.4470 Å, b = 3.4470 Å, c = 12.2637 Å
α = 81.92°, β = 81.92°, γ = 60.00°
Atoms (fractional coordinates):
Li 0.0000 0.0000 0.0000
Dy 0.0889 0.0889 0.7332
Dy 0.9111 0.9111 0.2668
Ho 0.5000 0.5000 0.5000